# SrGa2Rh PBE optimized geometry
# ΔH_f (0 K) = -1.1 eV per formula unit
# Energy = -64.68 eV/cell
# Size of the total moment = 0.0 μB/f.u.
data_SrGa2Rh
_chemical_formula_sum 'Sr4 Ga8 Rh4'
_cell_length_a 6.7781
_cell_length_b 6.7781
_cell_length_c 6.7781
_cell_angle_alpha 90.00
_cell_angle_beta 90.00
_cell_angle_gamma 90.00
_space_group_name_H-M_alt 'F m -3 m'
_space_group_IT_number 225
_space_group_name_Hall '-F 4 2 3'
loop_
_atom_site_label
_atom_site_type_symbol
_atom_site_fract_x
_atom_site_fract_y
_atom_site_fract_z
Sr1 Sr 0.0000 0.0000 0.0000
Ga1 Ga 0.2500 0.2500 0.2500
Rh1 Rh 0.0000 0.0000 0.5000

=====

# Cs2CuSF6 PBE optimized geometry
# Energy = -80.22 eV/cell
# Size of the total moment = 1.0 μB/f.u.
# Formation energy (no corrections) = -1895 meV/atom
data_Cs2CuSF6
_chemical_formula_sum 'Cs4 Cu2 S2 F12'
_cell_length_a 6.0067
_cell_length_b 6.0067
_cell_length_c 10.3664
_cell_angle_alpha 90.00
_cell_angle_beta 90.00
_cell_angle_gamma 90.00
_space_group_name_H-M_alt 'I 4/m m m'
_space_group_IT_number 139
_space_group_name_Hall '-I 4 2'
loop_
_atom_site_label
_atom_site_type_symbol
_atom_site_fract_x
_atom_site_fract_y
_atom_site_fract_z
Cs1 Cs 0.0000 0.5000 0.2500
Cu1 Cu 0.0000 0.0000 0.0000
S1 S 0.0000 0.0000 0.5000
F1 F 0.0000 0.0000 0.1790
F2 F 0.2241 0.2241 0.5000

=====

# Mn2InMoN PBE optimized geometry
# Energy = -40.75 eV/cell
# Size of the total moment = 5.8 μB/f.u.
# Formation energy (no corrections) = -102 meV/atom
data_Mn2InMoN
_chemical_formula_sum 'Mn2 In1 Mo1 N1'
_cell_length_a 4.0518
_cell_length_b 4.0518
_cell_length_c 4.1649
_cell_angle_alpha 90.00
_cell_angle_beta 90.00
_cell_angle_gamma 90.00
_space_group_name_H-M_alt 'P 4/m m m'
_space_group_IT_number 123
_space_group_name_Hall '-P 4 2'
loop_
_atom_site_label
_atom_site_type_symbol
_atom_site_fract_x
_atom_site_fract_y
_atom_site_fract_z
Mn1 Mn 0.0000 0.5000 0.0000
In1 In 0.0000 0.0000 0.5000
Mo1 Mo 0.5000 0.5000 0.5000
N1 N 0.5000 0.5000 0.0000

=====

# Rb3Pu2O9 PBE optimized geometry
# Energy = -208.09 eV/cell
# Size of the total moment = 1.0 μB/f.u.
# Formation energy (no corrections) = -1990 meV/atom
data_Rb3Pu2O9
_chemical_formula_sum 'Rb6 Pu4 O18'
_cell_length_a 6.4463
_cell_length_b 6.4463
_cell_length_c 16.4331
_cell_angle_alpha 90.00
_cell_angle_beta 90.00
_cell_angle_gamma 120.00
_space_group_name_H-M_alt 'P 63/m m c'
_space_group_IT_number 194
_space_group_name_Hall '-P 6c 2c'
loop_
_atom_site_label
_atom_site_type_symbol
_atom_site_fract_x
_atom_site_fract_y
_atom_site_fract_z
Rb1 Rb 0.0000 0.0000 0.2500
Rb2 Rb 0.3333 0.6667 0.0728
Pu1 Pu 0.3333 0.6667 0.6621
O1 O 0.0508 0.5254 0.7500
O2 O 0.1923 0.3846 0.5979

=====

# Pd2PbAu PBE optimized geometry
# ΔH_f (0 K) = -0.6 eV per formula unit
# Energy = -18.01 eV/cell
# Size of the total moment = 0.0 μB/f.u.
data_Pd2PbAu
_chemical_formula_sum 'Pd2 Pb1 Au1'
_cell_length_a 4.4365
_cell_length_b 4.4365
_cell_length_c 3.7187
_cell_angle_alpha 90.00
_cell_angle_beta 90.00
_cell_angle_gamma 90.00
_space_group_name_H-M_alt 'P 4/m m m'
_space_group_IT_number 123
_space_group_name_Hall '-P 4 2'
loop_
_atom_site_label
_atom_site_type_symbol
_atom_site_fract_x
_atom_site_fract_y
_atom_site_fract_z
Pd1 Pd 0.0000 0.5000 0.0000
Pb1 Pb 0.0000 0.0000 0.5000
Au1 Au 0.5000 0.5000 0.5000

=====

# CsAcOs2O7 PBE optimized geometry
# Energy = -79.78 eV/cell
# Size of the total moment = 4.8 μB/f.u.
# Formation energy (no corrections) = -1604 meV/atom
data_CsAcOs2O7
_chemical_formula_sum 'Cs1 Ac1 Os2 O7'
_cell_length_a 3.9503
_cell_length_b 3.9503
_cell_length_c 11.1658
_cell_angle_alpha 90.00
_cell_angle_beta 90.00
_cell_angle_gamma 90.00
_space_group_name_H-M_alt 'P 4/m m m'
_space_group_IT_number 123
_space_group_name_Hall '-P 4 2'
loop_
_atom_site_label
_atom_site_type_symbol
_atom_site_fract_x
_atom_site_fract_y
_atom_site_fract_z
Cs1 Cs 0.0000 0.0000 0.0000
Ac1 Ac 0.0000 0.0000 0.5000
Os1 Os 0.5000 0.5000 0.3047
O1 O 0.0000 0.5000 0.3336
O2 O 0.5000 0.5000 0.1421
O3 O 0.5000 0.5000 0.5000

=====

# CdFeW2 PBE optimized geometry
# ΔH_f (0 K) = 2.2 eV per formula unit
# Energy = -66.17 eV/cell
# Size of the total moment = 2.4 μB/f.u.
data_CdFeW2
_chemical_formula_sum 'Cd2 Fe2 W4'
_cell_length_a 5.4077
_cell_length_b 9.2042
_cell_length_c 2.6841
_cell_angle_alpha 90.00
_cell_angle_beta 106.79
_cell_angle_gamma 90.00
_space_group_name_H-M_alt 'C 1 2/m 1'
_space_group_IT_number 12
_space_group_name_Hall '-C 2y'
loop_
_atom_site_label
_atom_site_type_symbol
_atom_site_fract_x
_atom_site_fract_y
_atom_site_fract_z
Cd1 Cd 0.0000 0.0000 0.0000
Fe1 Fe 0.0000 0.5000 0.0000
W1 W 0.2500 0.2500 0.5000

=====

# ZnRu2Se PBE optimized geometry
# E above lowest polymorph = 76 meV per atom
# Energy = -22.64 eV/cell
# Size of the total moment = 0.0 μB/f.u.
# Formation energy (no corrections) = 166 meV/atom
data_ZnRu2Se
_chemical_formula_sum 'Zn1 Ru2 Se1'
_cell_length_a 4.3156
_cell_length_b 2.9812
_cell_length_c 5.0703
_cell_angle_alpha 90.00
_cell_angle_beta 114.75
_cell_angle_gamma 90.00
_space_group_name_H-M_alt 'P 1 2/m 1'
_space_group_IT_number 10
_space_group_name_Hall '-P 2y'
loop_
_atom_site_label
_atom_site_type_symbol
_atom_site_fract_x
_atom_site_fract_y
_atom_site_fract_z
Zn1 Zn 0.0000 0.0000 0.0000
Ru1 Ru 0.5000 0.0000 0.5000
Ru2 Ru 0.5000 0.5000 0.0000
Se1 Se 0.0000 0.5000 0.5000

=====

# CsSnF3 PBE optimized geometry
# Energy = -92.70 eV/cell
# Size of the total moment = 0.0 μB/f.u.
# Formation energy (no corrections) = -2541 meV/atom
data_CsSnF3
_chemical_formula_sum 'Cs4 Sn4 F12'
_cell_length_a 4.7870
_cell_length_b 6.8593
_cell_length_c 15.3068
_cell_angle_alpha 90.00
_cell_angle_beta 106.87
_cell_angle_gamma 90.00
_space_group_name_H-M_alt 'P 1 21/c 1'
_space_group_IT_number 14
_space_group_name_Hall '-P 2ybc'
loop_
_atom_site_label
_atom_site_type_symbol
_atom_site_fract_x
_atom_site_fract_y
_atom_site_fract_z
Cs1 Cs 0.1162 0.0349 0.3589
Sn1 Sn 0.3709 0.0453 0.1191
F1 F 0.0542 0.5731 0.3604
F2 F 0.3070 0.1844 0.5533
F3 F 0.4794 0.6990 0.2586

=====

# MgSc4Cl PBE optimized geometry
# Energy = -108.46 eV/cell
# Size of the total moment = 0.0 μB/f.u.
# Formation energy (no corrections) = 275 meV/atom
data_MgSc4Cl
_chemical_formula_sum 'Mg4 Sc16 Cl4'
_cell_length_a 8.5566
_cell_length_b 8.5566
_cell_length_c 8.5566
_cell_angle_alpha 90.00
_cell_angle_beta 90.00
_cell_angle_gamma 90.00
_space_group_name_H-M_alt 'F -4 3 m'
_space_group_IT_number 216
_space_group_name_Hall 'F -4 2 3'
loop_
_atom_site_label
_atom_site_type_symbol
_atom_site_fract_x
_atom_site_fract_y
_atom_site_fract_z
Mg1 Mg 0.0000 0.0000 0.0000
Sc1 Sc 0.1276 0.1276 0.6276
Cl1 Cl 0.2500 0.2500 0.2500

=====

# KTmGeSe4 PBE optimized geometry
# Energy = -63.52 eV/cell
# Size of the total moment = 0.0 μB/f.u.
# Formation energy (no corrections) = -1091 meV/atom
data_KTmGeSe4
_chemical_formula_sum 'K2 Tm2 Ge2 Se8'
_cell_length_a 6.7228
_cell_length_b 7.0508
_cell_length_c 9.1317
_cell_angle_alpha 90.00
_cell_angle_beta 107.69
_cell_angle_gamma 90.00
_space_group_name_H-M_alt 'P 1 21/m 1'
_space_group_IT_number 11
_space_group_name_Hall '-P 2yb'
loop_
_atom_site_label
_atom_site_type_symbol
_atom_site_fract_x
_atom_site_fract_y
_atom_site_fract_z
K1 K 0.2438 0.2500 0.0569
Tm1 Tm 0.2245 0.2500 0.5516
Ge1 Ge 0.2287 0.7500 0.3323
Se1 Se 0.0128 0.5083 0.7071
Se2 Se 0.4349 0.7500 0.1663
Se3 Se 0.4500 0.7500 0.5873

=====

# MgNCl2 PBE optimized geometry
# E above lowest polymorph = 70 meV per atom
# Energy = -54.85 eV/cell
# Size of the total moment = 3.0 μB/f.u.
# Formation energy (no corrections) = -25 meV/atom
data_MgNCl2
_chemical_formula_sum 'Mg4 N4 Cl8'
_cell_length_a 6.6606
_cell_length_b 6.6606
_cell_length_c 10.7762
_cell_angle_alpha 90.00
_cell_angle_beta 90.00
_cell_angle_gamma 90.00
_space_group_name_H-M_alt 'I -4 2 d'
_space_group_IT_number 122
_space_group_name_Hall 'I -4 2bw'
loop_
_atom_site_label
_atom_site_type_symbol
_atom_site_fract_x
_atom_site_fract_y
_atom_site_fract_z
Mg1 Mg 0.0000 0.0000 0.0000
N1 N 0.0000 0.0000 0.5000
Cl1 Cl 0.1486 0.2500 0.1250